(1)
Here is an optimized crystal structure of SiAgBiRh2 from Alexandria via LeMat-Bulk. Energies are from PBE.

The structure in CIF format:
```
data_SiAgBiRh2
_space_group_name_H-M_alt 'P 4/m m m'
_space_group_IT_number 123
_space_group_name_Hall '-P 4 2'
_cell_length_a 5.0129
_cell_length_b 5.0129
_cell_length_c 5.2117
_cell_angle_alpha 90.00
_cell_angle_beta 90.00
_cell_angle_gamma 90.00
loop_
_atom_site_label
_atom_site_type_symbol
_atom_site_fract_x
_atom_site_fract_y
_atom_site_fract_z
Si1 Si 0.0000 0.0000 0.0000
Ag1 Ag 0.5000 0.5000 0.0000
Bi1 Bi 0.0000 0.0000 0.5000
Rh1 Rh 0.0000 0.5000 0.5000
```

The calculation puts the total DFT energy (no corrections) at -4.02 eV per atom. Its crystal system is tetragonal. As for the density of states at the Fermi level: 6.83 states/eV/f.u.

(2)
Here is an optimized crystal structure of TbAgBiRh from Alexandria via LeMat-Bulk. Energies are from PBE.

The structure in CIF format:
```
data_TbAgBiRh
_space_group_name_H-M_alt 'F -4 3 m'
_space_group_IT_number 216
_space_group_name_Hall 'F -4 2 3'
_cell_length_a 6.9947
_cell_length_b 6.9947
_cell_length_c 6.9947
_cell_angle_alpha 90.00
_cell_angle_beta 90.00
_cell_angle_gamma 90.00
loop_
_atom_site_label
_atom_site_type_symbol
_atom_site_fract_x
_atom_site_fract_y
_atom_site_fract_z
Tb1 Tb 0.0000 0.0000 0.0000
Ag1 Ag 0.2500 0.2500 0.2500
Bi1 Bi 0.0000 0.0000 0.5000
Rh1 Rh 0.2500 0.2500 0.7500
```

The calculation puts the total DFT energy (no corrections) at -5.07 eV per atom. For the formation energy, the calculation gives -0.39 eV/atom. Its crystal system is cubic. As for the density of states at the Fermi level: 2.81 states/eV/f.u.

(3)
Here is an optimized crystal structure of TcAg2BiRh from Alexandria via LeMat-Bulk. Energies are from PBE.

The structure in CIF format:
```
data_TcAg2BiRh
_space_group_name_H-M_alt 'P 4/m m m'
_space_group_IT_number 123
_space_group_name_Hall '-P 4 2'
_cell_length_a 5.0276
_cell_length_b 5.0276
_cell_length_c 5.0921
_cell_angle_alpha 90.00
_cell_angle_beta 90.00
_cell_angle_gamma 90.00
loop_
_atom_site_label
_atom_site_type_symbol
_atom_site_fract_x
_atom_site_fract_y
_atom_site_fract_z
Tc1 Tc 0.0000 0.0000 0.0000
Ag1 Ag 0.0000 0.5000 0.0000
Bi1 Bi 0.0000 0.0000 0.5000
Rh1 Rh 0.5000 0.5000 0.5000
```

The calculation puts the total DFT energy (no corrections) at -3.99 eV per atom. For the formation energy, the calculation gives 1.47 eV/atom. Its crystal system is tetragonal. As for the density of states at the Fermi level: 6.32 states/eV/f.u.

(4)
Here is an optimized crystal structure of AgBiTe2Rh from Alexandria via LeMat-Bulk. Energies are from PBE.

The structure in CIF format:
```
data_AgBiTe2Rh
_space_group_name_H-M_alt 'P 4/m m m'
_space_group_IT_number 123
_space_group_name_Hall '-P 4 2'
_cell_length_a 5.9738
_cell_length_b 5.9738
_cell_length_c 5.1965
_cell_angle_alpha 90.00
_cell_angle_beta 90.00
_cell_angle_gamma 90.00
loop_
_atom_site_label
_atom_site_type_symbol
_atom_site_fract_x
_atom_site_fract_y
_atom_site_fract_z
Ag1 Ag 0.0000 0.0000 0.0000
Bi1 Bi 0.0000 0.0000 0.5000
Te1 Te 0.0000 0.5000 0.5000
Rh1 Rh 0.5000 0.5000 0.0000
```

The calculation puts the total DFT energy (no corrections) at -2.88 eV per atom. Its crystal system is tetragonal. As for the density of states at the Fermi level: 10.36 states/eV/f.u.

(5)
Here is an optimized crystal structure of Ag2BiTeRh from Alexandria via LeMat-Bulk. Energies are from PBE.

The structure in CIF format:
```
data_Ag2BiTeRh
_space_group_name_H-M_alt 'P 4/m m m'
_space_group_IT_number 123
_space_group_name_Hall '-P 4 2'
_cell_length_a 5.3018
_cell_length_b 5.3018
_cell_length_c 5.1137
_cell_angle_alpha 90.00
_cell_angle_beta 90.00
_cell_angle_gamma 90.00
loop_
_atom_site_label
_atom_site_type_symbol
_atom_site_fract_x
_atom_site_fract_y
_atom_site_fract_z
Ag1 Ag 0.0000 0.5000 0.0000
Bi1 Bi 0.0000 0.0000 0.0000
Te1 Te 0.5000 0.5000 0.5000
Rh1 Rh 0.0000 0.0000 0.5000
```

The calculation puts the total DFT energy (no corrections) at -3.16 eV per atom. Its crystal system is tetragonal. As for the density of states at the Fermi level: 6.15 states/eV/f.u.

(6)
Here is an optimized crystal structure of AgBiTeRh2 from Alexandria via LeMat-Bulk. Energies are from PBE.

The structure in CIF format:
```
data_AgBiTeRh2
_space_group_name_H-M_alt 'P 4/m m m'
_space_group_IT_number 123
_space_group_name_Hall '-P 4 2'
_cell_length_a 5.0106
_cell_length_b 5.0106
_cell_length_c 5.8764
_cell_angle_alpha 90.00
_cell_angle_beta 90.00
_cell_angle_gamma 90.00
loop_
_atom_site_label
_atom_site_type_symbol
_atom_site_fract_x
_atom_site_fract_y
_atom_site_fract_z
Ag1 Ag 0.0000 0.0000 0.0000
Bi1 Bi 0.5000 0.5000 0.5000
Te1 Te 0.5000 0.5000 0.0000
Rh1 Rh 0.0000 0.5000 0.5000
```

The calculation puts the total DFT energy (no corrections) at -3.78 eV per atom. Its crystal system is tetragonal. As for the density of states at the Fermi level: 3.32 states/eV/f.u.

(7)
Here is an optimized crystal structure of TmAgBiRh from Alexandria via LeMat-Bulk. Energies are from PBE.

The structure in CIF format:
```
data_TmAgBiRh
_space_group_name_H-M_alt 'F -4 3 m'
_space_group_IT_number 216
_space_group_name_Hall 'F -4 2 3'
_cell_length_a 6.9410
_cell_length_b 6.9410
_cell_length_c 6.9410
_cell_angle_alpha 90.00
_cell_angle_beta 90.00
_cell_angle_gamma 90.00
loop_
_atom_site_label
_atom_site_type_symbol
_atom_site_fract_x
_atom_site_fract_y
_atom_site_fract_z
Tm1 Tm 0.0000 0.0000 0.0000
Ag1 Ag 0.2500 0.2500 0.2500
Bi1 Bi 0.0000 0.0000 0.5000
Rh1 Rh 0.2500 0.2500 0.7500
```

The calculation puts the total DFT energy (no corrections) at -5.02 eV per atom. For the formation energy, the calculation gives -0.38 eV/atom. Its crystal system is cubic. As for the density of states at the Fermi level: 2.65 states/eV/f.u.

(8)
Here is an optimized crystal structure of AgBi2Ru from Alexandria via LeMat-Bulk. Energies are from PBE.

The structure in CIF format:
```
data_AgBi2Ru
_space_group_name_H-M_alt 'F m -3 m'
_space_group_IT_number 225
_space_group_name_Hall '-F 4 2 3'
_cell_length_a 7.0325
_cell_length_b 7.0325
_cell_length_c 7.0325
_cell_angle_alpha 90.00
_cell_angle_beta 90.00
_cell_angle_gamma 90.00
loop_
_atom_site_label
_atom_site_type_symbol
_atom_site_fract_x
_atom_site_fract_y
_atom_site_fract_z
Ag1 Ag 0.0000 0.0000 0.0000
Bi1 Bi 0.2500 0.2500 0.2500
Ru1 Ru 0.0000 0.0000 0.5000
```

The calculation puts the total DFT energy (no corrections) at -4.59 eV per atom. For the formation energy, the calculation gives 0.38 eV/atom. Its crystal system is cubic. As for the density of states at the Fermi level: 3.69 states/eV/f.u.

The evaluated magnetic moment for the records listed, in turn: 0.00 0.00 2.28 2.06 0.00 0.02 0.00 0.00 μB per formula unit.